No. 1
This record from Alexandria describes a relaxed structure of NiAu3. The functional is GGA-PBE.

The structure in POSCAR format:
```
NiAu3
1.0
4.5491 2.6265 0.9264
-4.5491 2.6265 0.9264
0.0000 -5.2529 0.9264
Ni Au
1 3
Direct
0.0000 0.0000 0.0000
0.0000 0.5000 0.5000
0.5000 0.0000 0.5000
0.5000 0.5000 0.0000
```

Values from the calculation:
Calculated volume, Å³/cell: 66
Total magnetization, μB/f.u.: 0.28
Formation enthalpy at 0 K, meV per atom: 161
Fermi-level density of states, states/eV/atom: 0.942
Calculated total energy, eV per atom: -3.742
Space group: No. 166

No. 2
This record from Alexandria describes a relaxed structure of NbAsSe2. The functional is GGA-PBE.

The structure in POSCAR format:
```
NbAsSe2
1.0
-3.1742 3.1742 5.3784
3.1742 -3.1742 5.3784
3.1742 3.1742 -5.3784
Nb As Se
2 2 4
Direct
0.0000 0.0000 0.0000
0.7500 0.2500 0.5000
0.2500 0.7500 0.5000
0.5000 0.5000 0.0000
0.0919 0.6250 0.9669
0.3750 0.3419 0.4669
0.6581 0.1250 0.0331
0.8750 0.9081 0.5331
```

Values from the calculation:
Calculated volume, Å³/cell: 217
Formation energy from raw total energies, eV per atom: 0.23
Total magnetization, μB/f.u.: 0.00
Fermi-level density of states, states/eV/atom: 0.899
Calculated total energy, eV per atom: -5.197
Space group: No. 122

No. 3
This record from Alexandria describes a relaxed structure of NpMnCo2H8. The functional is GGA-PBE.

The structure in POSCAR format:
```
NpMnCo2H8
1.0
2.1981 1.2691 5.2993
-2.1981 1.2691 5.2993
0.0000 -2.5382 5.2993
Np Mn Co H
1 1 2 8
Direct
0.0000 0.0000 0.0000
0.5000 0.5000 0.5000
0.2016 0.2016 0.2016
0.7984 0.7984 0.7984
0.1281 0.3963 0.8251
0.1749 0.8719 0.6037
0.3058 0.3058 0.3058
0.3963 0.8251 0.1281
0.6037 0.1749 0.8719
0.6942 0.6942 0.6942
0.8251 0.1281 0.3963
0.8719 0.6037 0.1749
```

Values from the calculation:
Calculated volume, Å³/cell: 89
Total magnetization, μB/f.u.: 8.21
Fermi-level density of states, states/eV/atom: 1.124
Calculated total energy, eV per atom: -5.282
Space group: No. 148

No. 4
This record from Alexandria describes a relaxed structure of Re2CI. The functional is GGA-PBE.

The structure in POSCAR format:
```
Re2CI
1.0
-2.4307 2.4307 6.1211
2.4307 -2.4307 6.1211
2.4307 2.4307 -6.1211
Re C I
4 2 2
Direct
0.3750 0.2488 0.3738
0.7512 0.1250 0.1262
0.8750 0.0012 0.6262
0.9988 0.6250 0.8738
0.0000 0.0000 0.0000
0.7500 0.2500 0.5000
0.2500 0.7500 0.5000
0.5000 0.5000 0.0000
```

Values from the calculation:
Calculated volume, Å³/cell: 145
Relative energy among the computed polymorphs, meV per atom: 0.0
Formation energy from raw total energies, eV per atom: 1.17
Total magnetization, μB/f.u.: 0.00
Fermi-level density of states, states/eV/atom: 1.198
Calculated total energy, eV per atom: -7.746
Space group: No. 122

No. 5
This record from Alexandria describes a relaxed structure of NiW. The functional is GGA-PBE.

The structure in POSCAR format:
```
NiW
1.0
3.1500 0.0000 0.0000
0.0000 3.1500 0.0000
0.0000 0.0000 5.4808
Ni W
2 2
Direct
0.2500 0.2500 0.1143
0.7500 0.7500 0.8857
0.2500 0.2500 0.6446
0.7500 0.7500 0.3554
```

Values from the calculation:
Calculated volume, Å³/cell: 54
Total magnetization, μB/f.u.: 0.00
Formation enthalpy at 0 K, meV per atom: 84
Fermi-level density of states, states/eV/atom: 1.156
Calculated total energy, eV per atom: -9.283
Space group: No. 129

No. 6
This record from Alexandria describes a relaxed structure of LiPrRh2. The functional is GGA-PBE.

The structure in POSCAR format:
```
LiPrRh2
1.0
3.4072 0.0000 0.0000
0.0000 3.4072 0.0000
0.0000 0.0000 6.1750
Li Pr Rh
1 1 2
Direct
0.0000 0.0000 0.0000
0.0000 0.0000 0.5000
0.5000 0.5000 0.2203
0.5000 0.5000 0.7797
```

Values from the calculation:
Calculated volume, Å³/cell: 72
Total magnetization, μB/f.u.: 0.00
Formation enthalpy at 0 K, meV per atom: -273
Fermi-level density of states, states/eV/atom: 0.518
Calculated total energy, eV per atom: -5.622
Space group: No. 123